[1]
ThB2Ru2 after structural relaxation. Source: Alexandria via LeMat-Bulk, functional PBE.

Cell and atoms, written as POSCAR:
```
ThB2Ru2
1.0
5.5934 -0.0396 0.0002
-1.7115 5.3252 0.0002
-1.9407 -2.6425 5.0593
Th Ru B
2 4 4
Direct
0.0002 0.9998 0.0000
0.2498 0.7502 0.5000
0.3629 0.3628 0.7258
0.8871 0.3872 0.7742
0.6128 0.1129 0.2258
0.6372 0.6371 0.2742
0.9328 0.0672 0.5000
0.3172 0.6828 0.0000
0.5672 0.4328 0.5000
0.6828 0.3172 0.0000
```

**Magnetic moment**: 0.00 μB/f.u.
**Energy**: -8.45 eV per atom
**Symmetry**: Fddd, No. 70
**Fermi-level density of states**: 3.53 states/eV/cell
**Crystal system**: orthorhombic

---

[2]
Ac5Sb4N after structural relaxation. Source: Alexandria via LeMat-Bulk, functional PBE.

Cell and atoms, written as POSCAR:
```
Ac5Sb4N
1.0
6.7510 0.0000 0.0000
3.3755 7.2840 0.0000
3.3755 0.0000 7.2840
Sb Ac N
4 5 1
Direct
0.5941 0.6058 0.2145
0.8086 0.7855 0.6058
0.4144 0.3942 0.7855
0.1999 0.2145 0.3942
0.7302 0.1764 0.3613
0.4278 0.0000 0.0000
0.0915 0.6387 0.1764
0.9066 0.3613 0.8236
0.2679 0.8236 0.6387
0.0694 0.0000 0.0000
```

**Magnetic moment**: 0.00 μB/f.u.
**Formation energy from raw total energies**: -1064.5 meV per atom
**Energy**: -5.60 eV per atom
**Symmetry**: I4, No. 79
**Fermi-level density of states**: 0.58 states/eV/cell
**Crystal system**: tetragonal

---

[3]
La5Ir2Ru after structural relaxation. Source: Alexandria via LeMat-Bulk, functional PBE.

Cell and atoms, written as POSCAR:
```
La5Ir2Ru
1.0
-5.0627 -0.1849 2.8321
0.7172 -1.0299 7.1582
-1.4169 5.2923 9.6990
Ru La Ir
1 5 2
Direct
0.0337 0.6746 0.3023
0.3402 0.5331 0.0673
0.5575 0.7266 0.2526
0.9279 0.1560 0.6680
0.1234 0.3271 0.8862
0.7628 0.9127 0.4545
0.6333 0.3529 0.8633
0.8442 0.5400 0.0598
```

**Magnetic moment**: 0.00 μB/f.u.
**Energy**: -6.96 eV per atom
**Symmetry**: Cm, No. 8
**Fermi-level density of states**: 3.94 states/eV/cell
**Crystal system**: monoclinic

---

[4]
LiMg2Br after structural relaxation. Source: Alexandria via LeMat-Bulk, functional PBE.

Cell and atoms, written as POSCAR:
```
LiMg2Br
1.0
5.3932 0.0000 0.0000
0.0000 5.3932 0.0000
0.0000 0.0000 3.4048
Br Mg Li
1 2 1
Direct
0.5000 0.0000 0.5000
0.5000 0.5000 0.0000
0.0000 0.0000 0.0000
0.0000 0.5000 0.5000
```

**Magnetic moment**: 0.00 μB/f.u.
**Formation energy from raw total energies**: -142.6 meV per atom
**Energy**: -1.84 eV per atom
**E above lowest polymorph**: 0.318 eV/atom
**Symmetry**: P4/mmm, No. 123
**Fermi-level density of states**: 2.82 states/eV/cell
**Crystal system**: tetragonal

---

[5]
Pr2NdPu3Te6 after structural relaxation. Source: Alexandria via LeMat-Bulk, functional PBE.

Cell and atoms, written as POSCAR:
```
Pr2NdPu3Te6
1.0
-3.4189 2.1766 1.8597
-5.7573 -5.5754 -4.0590
3.5816 -5.4544 7.6221
Pr Nd Te Pu
2 1 6 3
Direct
0.8332 0.6663 0.6665
0.1668 0.3337 0.3335
0.5000 0.0000 0.0000
0.9980 0.2529 0.9960
0.3353 0.4118 0.6706
0.0020 0.7471 0.0040
0.3322 0.9217 0.6644
0.6647 0.5882 0.3294
0.6678 0.0783 0.3356
0.8330 0.1664 0.6659
0.5000 0.5000 0.0000
0.1670 0.8336 0.3341
```

**Magnetic moment**: 17.71 μB/f.u.
**Formation energy from raw total energies**: -1280.7 meV per atom
**Energy**: -7.63 eV per atom
**Symmetry**: C2/m, No. 12
**Fermi-level density of states**: 33.74 states/eV/cell
**Crystal system**: monoclinic

---

[6]
Ho3Mg2Tl6 after structural relaxation. Source: Alexandria via LeMat-Bulk, functional PBE.

Cell and atoms, written as POSCAR:
```
Ho3Mg2Tl6
1.0
-1.2110 -3.2686 2.8380
-1.3510 -2.5144 -3.4724
15.3363 -3.2209 -0.7251
Ho Tl Mg
3 6 2
Direct
0.1632 0.1632 0.3264
0.0000 0.0000 0.0000
0.8368 0.8368 0.6736
0.4259 0.9259 0.8519
0.9259 0.4259 0.8519
0.2670 0.2670 0.5341
0.7330 0.7330 0.4659
0.5741 0.0741 0.1481
0.0741 0.5741 0.1481
0.6391 0.6391 0.2783
0.3609 0.3609 0.7217
```

**Magnetic moment**: 0.00 μB/f.u.
**Energy**: -2.88 eV per atom
**Symmetry**: I4/mmm, No. 139
**Fermi-level density of states**: 6.84 states/eV/cell
**Crystal system**: tetragonal